No. 1
# Nd8Ho2Tm, relaxed, DFT PBE
data_Nd8Ho2Tm
_chemical_formula_sum 'Nd8 Ho2 Tm1'
_cell_length_a 9.069
_cell_length_b 9.069
_cell_length_c 6.730
_cell_angle_alpha 99.71
_cell_angle_beta 99.71
_cell_angle_gamma 44.18
_space_group_name_H-M_alt 'P 1'
_space_group_IT_number 1
_space_group_name_Hall 'P 1'
loop_
_atom_site_label
_atom_site_type_symbol
_atom_site_fract_x
_atom_site_fract_y
_atom_site_fract_z
_atom_site_occupancy
Nd1 Nd 0.095 0.095 0.915 1
Nd2 Nd 0.152 0.676 0.597 1
Nd3 Nd 0.256 0.256 0.679 1
Nd4 Nd 0.324 0.848 0.403 1
Nd5 Nd 0.676 0.152 0.597 1
Nd6 Nd 0.744 0.744 0.321 1
Nd7 Nd 0.848 0.324 0.403 1
Nd8 Nd 0.905 0.905 0.085 1
Ho1 Ho 0.305 0.305 0.193 1
Ho2 Ho 0.695 0.695 0.807 1
Tm1 Tm 0.500 0.500 0.000 1
# - volume (A^3/atom) = 34.48
# - energy of formation from the pure elements (meV/atom) = 169
# - excess energy over the best structure of this formula in the dataset (eV/atom) = 0.0094
# - theoretical density (g/cm³) = 7.2

---

No. 2
# MoPdRh2, relaxed, DFT PBE
data_MoPdRh2
_chemical_formula_sum 'Mo1 Pd1 Rh2'
_cell_length_a 3.937
_cell_length_b 3.937
_cell_length_c 3.797
_cell_angle_alpha 90.00
_cell_angle_beta 90.00
_cell_angle_gamma 90.00
_space_group_name_H-M_alt 'P 1'
_space_group_IT_number 1
_space_group_name_Hall 'P 1'
loop_
_atom_site_label
_atom_site_type_symbol
_atom_site_fract_x
_atom_site_fract_y
_atom_site_fract_z
_atom_site_occupancy
Mo1 Mo 0.000 0.000 0.000 1
Pd1 Pd 0.500 0.500 0.000 1
Rh1 Rh 0.000 0.500 0.500 1
Rh2 Rh 0.500 0.000 0.500 1
# - volume (A^3/atom) = 14.72
# - energy of formation from the pure elements (meV/atom) = -74
# - theoretical density (g/cm³) = 11.5

---

No. 3
# La9Sm4Ho, relaxed, DFT PBE
data_La9Sm4Ho
_chemical_formula_sum 'La18 Sm8 Ho2'
_cell_length_a 10.069
_cell_length_b 10.069
_cell_length_c 11.628
_cell_angle_alpha 90.00
_cell_angle_beta 90.00
_cell_angle_gamma 120.00
_space_group_name_H-M_alt 'P 1'
_space_group_IT_number 1
_space_group_name_Hall 'P 1'
loop_
_atom_site_label
_atom_site_type_symbol
_atom_site_fract_x
_atom_site_fract_y
_atom_site_fract_z
_atom_site_occupancy
La1 La 0.079 0.540 0.250 1
La2 La 0.207 0.415 0.530 1
La3 La 0.207 0.415 0.970 1
La4 La 0.207 0.793 0.530 1
La5 La 0.207 0.793 0.970 1
La6 La 0.415 0.207 0.030 1
La7 La 0.415 0.207 0.470 1
La8 La 0.460 0.540 0.250 1
La9 La 0.460 0.921 0.250 1
La10 La 0.540 0.079 0.750 1
La11 La 0.540 0.460 0.750 1
La12 La 0.585 0.793 0.530 1
La13 La 0.585 0.793 0.970 1
La14 La 0.793 0.207 0.030 1
La15 La 0.793 0.207 0.470 1
La16 La 0.793 0.585 0.030 1
La17 La 0.793 0.585 0.470 1
La18 La 0.921 0.460 0.750 1
Sm1 Sm 0.000 0.000 0.000 1
Sm2 Sm 0.000 0.000 0.500 1
Sm3 Sm 0.112 0.224 0.250 1
Sm4 Sm 0.112 0.888 0.250 1
Sm5 Sm 0.224 0.112 0.750 1
Sm6 Sm 0.776 0.888 0.250 1
Sm7 Sm 0.888 0.112 0.750 1
Sm8 Sm 0.888 0.776 0.750 1
Ho1 Ho 0.333 0.667 0.750 1
Ho2 Ho 0.667 0.333 0.250 1
# - volume (A^3/atom) = 36.46
# - energy of formation from the pure elements (meV/atom) = 143
# - theoretical density (g/cm³) = 6.6

---

No. 4
# Ca2PmP, relaxed, DFT PBE
data_Ca2PmP
_chemical_formula_sum 'Ca2 Pm1 P1'
_cell_length_a 10.934
_cell_length_b 10.934
_cell_length_c 10.934
_cell_angle_alpha 20.86
_cell_angle_beta 20.86
_cell_angle_gamma 20.86
_space_group_name_H-M_alt 'P 1'
_space_group_IT_number 1
_space_group_name_Hall 'P 1'
loop_
_atom_site_label
_atom_site_type_symbol
_atom_site_fract_x
_atom_site_fract_y
_atom_site_fract_z
_atom_site_occupancy
Ca1 Ca 0.119 0.119 0.119 1
Ca2 Ca 0.881 0.881 0.881 1
Pm1 Pm 0.000 0.000 0.000 1
P1 P 0.500 0.500 0.500 1
# - volume (A^3/atom) = 36.30
# - energy of formation from the pure elements (meV/atom) = -354
# - theoretical density (g/cm³) = 2.9

---

No. 5
# Pm5Ag4Au, relaxed, DFT PBE
data_Pm5Ag4Au
_chemical_formula_sum 'Pm5 Ag4 Au1'
_cell_length_a 3.701
_cell_length_b 3.701
_cell_length_c 18.847
_cell_angle_alpha 90.00
_cell_angle_beta 90.00
_cell_angle_gamma 90.00
_space_group_name_H-M_alt 'P 1'
_space_group_IT_number 1
_space_group_name_Hall 'P 1'
loop_
_atom_site_label
_atom_site_type_symbol
_atom_site_fract_x
_atom_site_fract_y
_atom_site_fract_z
_atom_site_occupancy
Pm1 Pm 0.000 0.000 0.000 1
Pm2 Pm 0.000 0.000 0.201 1
Pm3 Pm 0.000 0.000 0.403 1
Pm4 Pm 0.000 0.000 0.597 1
Pm5 Pm 0.000 0.000 0.799 1
Ag1 Ag 0.500 0.500 0.101 1
Ag2 Ag 0.500 0.500 0.300 1
Ag3 Ag 0.500 0.500 0.700 1
Ag4 Ag 0.500 0.500 0.899 1
Au1 Au 0.500 0.500 0.500 1
# - volume (A^3/atom) = 25.81
# - energy of formation from the pure elements (meV/atom) = -377
# - theoretical density (g/cm³) = 8.7

---

No. 6
# PmSnSb, relaxed, DFT PBE
data_PmSnSb
_chemical_formula_sum 'Pm1 Sn1 Sb1'
_cell_length_a 8.598
_cell_length_b 8.598
_cell_length_c 8.598
_cell_angle_alpha 157.13
_cell_angle_beta 157.13
_cell_angle_gamma 32.57
_space_group_name_H-M_alt 'P 1'
_space_group_IT_number 1
_space_group_name_Hall 'P 1'
loop_
_atom_site_label
_atom_site_type_symbol
_atom_site_fract_x
_atom_site_fract_y
_atom_site_fract_z
_atom_site_occupancy
Pm1 Pm 0.000 0.000 0.000 1
Sn1 Sn 0.193 0.193 0.000 1
Sb1 Sb 0.371 0.371 0.000 1
# - volume (A^3/atom) = 31.98
# - excess energy over the best structure of this formula in the dataset (eV/atom) = 0.3814
# - theoretical density (g/cm³) = 6.7

---

No. 7
# LaNd14Cd, relaxed, DFT PBE
data_LaNd14Cd
_chemical_formula_sum 'La1 Nd14 Cd1'
_cell_length_a 10.365
_cell_length_b 7.268
_cell_length_c 7.268
_cell_angle_alpha 90.00
_cell_angle_beta 90.00
_cell_angle_gamma 90.00
_space_group_name_H-M_alt 'P 1'
_space_group_IT_number 1
_space_group_name_Hall 'P 1'
loop_
_atom_site_label
_atom_site_type_symbol
_atom_site_fract_x
_atom_site_fract_y
_atom_site_fract_z
_atom_site_occupancy
La1 La 0.000 0.000 0.000 1
Nd1 Nd 0.000 0.500 0.999 1
Nd2 Nd 0.000 0.999 0.500 1
Nd3 Nd 0.246 0.253 0.253 1
Nd4 Nd 0.246 0.253 0.747 1
Nd5 Nd 0.246 0.747 0.253 1
Nd6 Nd 0.247 0.747 0.747 1
Nd7 Nd 0.500 0.000 0.000 1
Nd8 Nd 0.500 0.000 0.500 1
Nd9 Nd 0.500 0.500 0.000 1
Nd10 Nd 0.500 0.500 0.500 1
Nd11 Nd 0.753 0.747 0.747 1
Nd12 Nd 0.754 0.253 0.253 1
Nd13 Nd 0.754 0.253 0.747 1
Nd14 Nd 0.754 0.747 0.253 1
Cd1 Cd 0.000 0.500 0.500 1
# - volume (A^3/atom) = 34.22
# - energy of formation from the pure elements (meV/atom) = -15
# - theoretical density (g/cm³) = 6.9

---

No. 8
# PmInGaAu, relaxed, DFT PBE
data_PmInGaAu
_chemical_formula_sum 'Pm1 In1 Ga1 Au1'
_cell_length_a 5.034
_cell_length_b 5.034
_cell_length_c 5.034
_cell_angle_alpha 60.00
_cell_angle_beta 60.00
_cell_angle_gamma 60.00
_space_group_name_H-M_alt 'P 1'
_space_group_IT_number 1
_space_group_name_Hall 'P 1'
loop_
_atom_site_label
_atom_site_type_symbol
_atom_site_fract_x
_atom_site_fract_y
_atom_site_fract_z
_atom_site_occupancy
Pm1 Pm 0.000 0.000 0.000 1
In1 In 0.500 0.500 0.500 1
Ga1 Ga 0.250 0.250 0.250 1
Au1 Au 0.750 0.750 0.750 1
# - volume (A^3/atom) = 22.54
# - energy of formation from the pure elements (meV/atom) = -542
# - theoretical density (g/cm³) = 9.7